Record 1
First-principles (PBE) data for a relaxed structure of CdNiAu3, as listed in Alexandria via LeMat-Bulk.

POSCAR file:
```
CdNiAu3
1.0
-2.147 -4.356 -1.631
3.696 -0.506 -3.512
2.825 -2.649 3.355
Cd Au Ni
1 3 1
Direct
0.000 0.000 0.000
0.000 0.500 0.000
0.000 0.000 0.500
0.500 0.000 0.000
0.500 0.500 0.500
```

Computed properties:
symmetry = No. 221
electronic total energy = -2.1659 eV/atom
Fermi-level density of states = 9.0 states/eV per cell
DFT formation energy = 1.14 eV per atom
offset from the most stable computed form = 316.3 kJ/mol of formula units

=====

Record 2
First-principles (PBE) data for a relaxed structure of SrPmY4S8, as listed in Alexandria via LeMat-Bulk.

POSCAR file:
```
SrPmY4S8
1.0
-2.953 1.124 -7.552
-3.628 -6.191 -3.940
-8.144 0.144 -1.230
S Sr Pm Y
8 1 1 4
Direct
0.754 0.229 0.263
0.758 0.758 0.727
0.240 0.791 0.729
0.240 0.240 0.729
0.236 0.236 0.293
0.791 0.240 0.729
0.229 0.754 0.263
0.754 0.754 0.263
0.374 0.374 0.878
0.002 0.002 0.995
0.495 0.002 0.502
0.002 0.495 0.502
0.002 0.002 0.502
0.625 0.625 0.124
```

Computed properties:
symmetry = No. 160
electronic total energy = -6.6590 eV/atom
Fermi-level density of states = 3.6 states/eV per cell
energy relative to the elements, uncorrected = -192.4 kJ/mol of atoms